[1]
Density functional theory data (PBE-GGA) for HfNp2PaSb4 after structural relaxation.

a b c (Å): 7.448 4.328 7.489
angles (deg): 90.00 109.59 90.00
Fractional coordinates of all 8 atoms:
Hf 0.000 0.000 0.000
Np 0.500 0.000 0.500
Np 0.500 0.500 0.000
Pa 0.000 0.500 0.500
Sb 0.237 0.500 0.237
Sb 0.242 0.000 0.758
Sb 0.758 0.000 0.242
Sb 0.763 0.500 0.763

Results
Size of the total moment: 0.4 μB per formula unit
Total DFT energy (no corrections): -8.04 eV per atom
ΔE_f (raw): -0.312 eV/atom
DOS at the Fermi energy: 24.291 states/eV per cell
Space group: P2/m, No. 10

=====

[2]
Density functional theory data (PBE-GGA) for Ba4Nd2Cu2O9 after structural relaxation.

a b c (Å): 12.110 12.110 3.917
angles (deg): 90.00 90.00 90.00
Fractional coordinates of all 34 atoms:
Ba 0.114 0.171 0.239
Ba 0.171 0.886 0.761
Ba 0.329 0.386 0.261
Ba 0.386 0.671 0.739
Ba 0.614 0.329 0.739
Ba 0.671 0.614 0.261
Ba 0.829 0.114 0.761
Ba 0.886 0.829 0.239
Nd 0.110 0.610 0.250
Nd 0.390 0.110 0.750
Nd 0.610 0.890 0.750
Nd 0.890 0.390 0.250
Cu 0.099 0.401 0.750
Cu 0.401 0.901 0.250
Cu 0.599 0.099 0.250
Cu 0.901 0.599 0.750
O 0.000 0.000 0.000
O 0.023 0.709 0.749
O 0.093 0.407 0.250
O 0.209 0.523 0.751
O 0.243 0.743 0.250
O 0.257 0.243 0.750
O 0.291 0.023 0.251
O 0.407 0.907 0.750
O 0.477 0.209 0.249
O 0.500 0.500 0.500
O 0.523 0.791 0.249
O 0.593 0.093 0.750
O 0.709 0.977 0.251
O 0.743 0.757 0.750
O 0.757 0.257 0.250
O 0.791 0.477 0.751
O 0.907 0.593 0.250
O 0.977 0.291 0.749

Results
Size of the total moment: 0.0 μB per formula unit
Total DFT energy (no corrections): -6.46 eV per atom
ΔE_f (raw): -2.343 eV/atom
DOS at the Fermi energy: 5.246 states/eV per cell
Space group: P-4n2, No. 118

=====

[3]
Density functional theory data (PBE-GGA) for MoIr3Ru after structural relaxation.

a b c (Å): 4.140 5.544 6.872
angles (deg): 90.00 90.00 90.00
Fractional coordinates of all 10 atoms:
Mo 0.250 0.250 0.187
Mo 0.750 0.750 0.813
Ir 0.250 0.026 0.747
Ir 0.250 0.474 0.747
Ir 0.250 0.750 0.069
Ir 0.750 0.250 0.931
Ir 0.750 0.526 0.253
Ir 0.750 0.974 0.253
Ru 0.250 0.750 0.443
Ru 0.750 0.250 0.557

Results
Size of the total moment: 0.0 μB per formula unit
Total DFT energy (no corrections): -9.11 eV per atom
Calculated formation energy: 0.232 eV per atom
DOS at the Fermi energy: 8.280 states/eV per cell
Space group: Pmmn, No. 59

=====

[4]
Density functional theory data (PBE-GGA) for TlPb2Se after structural relaxation.

a b c (Å): 3.932 3.932 27.555
angles (deg): 90.00 90.00 120.00
Fractional coordinates of all 12 atoms:
Tl 0.000 0.000 0.000
Tl 0.333 0.667 0.667
Tl 0.667 0.333 0.333
Pb 0.000 0.000 0.239
Pb 0.000 0.000 0.427
Pb 0.333 0.667 0.094
Pb 0.333 0.667 0.906
Pb 0.667 0.333 0.573
Pb 0.667 0.333 0.761
Se 0.000 0.000 0.833
Se 0.333 0.667 0.500
Se 0.667 0.333 0.167

Results
Size of the total moment: 0.0 μB per formula unit
Total DFT energy (no corrections): -3.45 eV per atom
ΔE_f (raw): -0.134 eV/atom
DOS at the Fermi energy: 4.103 states/eV per cell
Space group: R3m, No. 160

=====

[5]
Density functional theory data (PBE-GGA) for Y8Sb3Te4Pt after structural relaxation.

a b c (Å): 8.772 8.772 8.772
angles (deg): 59.35 59.35 59.35
Fractional coordinates of all 16 atoms:
Y 0.246 0.246 0.246
Y 0.262 0.733 0.733
Y 0.267 0.267 0.738
Y 0.267 0.738 0.267
Y 0.733 0.262 0.733
Y 0.733 0.733 0.262
Y 0.738 0.267 0.267
Y 0.754 0.754 0.754
Sb 0.000 0.000 0.500
Sb 0.000 0.500 0.000
Sb 0.500 0.000 0.000
Te 0.000 0.000 0.000
Te 0.000 0.500 0.500
Te 0.500 0.000 0.500
Te 0.500 0.500 0.000
Pt 0.500 0.500 0.500

Results
Size of the total moment: 0.0 μB per formula unit
Total DFT energy (no corrections): -6.43 eV per atom
ΔE_f (raw): -1.265 eV/atom
DOS at the Fermi energy: 11.930 states/eV per cell
Space group: R-3m, No. 166

=====

[6]
Density functional theory data (PBE-GGA) for SiIrBr2 after structural relaxation.

a b c (Å): 4.681 3.774 7.159
angles (deg): 90.00 107.85 90.00
Fractional coordinates of all 4 atoms:
Si 0.000 0.000 0.000
Ir 0.500 0.000 0.000
Br 0.381 0.500 0.744
Br 0.619 0.500 0.256

Results
Size of the total moment: 0.0 μB per formula unit
Total DFT energy (no corrections): -4.20 eV per atom
ΔE_f (raw): 0.210 eV/atom
DOS at the Fermi energy: 2.855 states/eV per cell
Space group: P2/m, No. 10